Computed, not measured: Tb2GaFe after structural relaxation at the PBE-GGA level of DFT.

## Properties
space group = No. 123
energy relative to the lowest polymorph listed for this composition = 0 meV/atom
D(E_F) = 5.57 states/eV/cell

a b c (Å): 3.5074 3.5074 7.0323
angles (deg): 90.00 90.00 90.00
Last column: magnetic moment on the atom in μB.
Fractional positions:
Tb 0.0000 0.0000 0.7664  -0.29
Tb 0.0000 0.0000 0.2336  -0.29
Fe 0.5000 0.5000 0.0000  2.00
Ga 0.5000 0.5000 0.5000  -0.01

---

Computed, not measured: CrRhSe2 after structural relaxation at the PBE-GGA level of DFT.

## Properties
space group = No. 122
formation energy (no corrections) = -0.1001 eV/atom
energy relative to the lowest polymorph listed for this composition = 224 meV/atom
D(E_F) = 8.95 states/eV/cell

a b c (Å): 5.5018 5.5018 6.9631
angles (deg): 66.73 66.73 90.00
Last column: magnetic moment on the atom in μB.
Fractional positions:
Cr 0.5000 0.5000 0.0000  2.85
Cr 0.2500 0.7500 0.5000  2.85
Rh 0.0000 0.0000 0.0000  -0.41
Rh 0.7500 0.2500 0.5000  -0.42
Se 0.6202 0.1250 0.2500  -0.14
Se 0.1298 0.6250 0.2500  -0.12
Se 0.3750 0.3798 0.7500  -0.14
Se 0.8750 0.8702 0.7500  -0.13

---

Computed, not measured: CeNd2Pa2Ru5 after structural relaxation at the PBE-GGA level of DFT.

## Properties
space group = No. 127
electronic total energy = -8.378 eV/atom
D(E_F) = 14.58 states/eV/cell

a b c (Å): 3.7038 10.7239 10.7239
angles (deg): 90.00 90.00 90.00
Fractional positions:
Ce 0.0000 0.0000 0.0000
Ce 0.0000 0.5000 0.5000
Nd 0.0000 0.6739 0.1739
Nd 0.0000 0.3261 0.8261
Nd 0.0000 0.1739 0.3261
Nd 0.0000 0.8261 0.6739
Pa 0.0000 0.1348 0.6348
Pa 0.0000 0.8652 0.3652
Pa 0.0000 0.6348 0.8652
Pa 0.0000 0.3652 0.1348
Ru 0.5000 0.2021 0.0554
Ru 0.5000 0.7979 0.9446
Ru 0.5000 0.0554 0.7979
Ru 0.5000 0.7021 0.4446
Ru 0.5000 0.9446 0.2021
Ru 0.5000 0.2979 0.5554
Ru 0.5000 0.5554 0.7021
Ru 0.5000 0.4446 0.2979
Ru 0.5000 0.5000 0.0000
Ru 0.5000 0.0000 0.5000

---

Computed, not measured: Pm4NdPt2 after structural relaxation at the PBE-GGA level of DFT.

## Properties
space group = No. 1
energy relative to the lowest polymorph listed for this composition = 0 meV/atom
D(E_F) = 15.84 states/eV/cell

a b c (Å): 6.7903 7.7811 9.7992
angles (deg): 115.23 116.67 72.27
Fractional positions:
Pm 0.0870 0.1362 0.4645
Pm 0.4337 0.6748 0.2335
Pm 0.6905 0.5766 0.6099
Pm 0.7949 0.0647 0.6518
Pm 0.4433 0.1890 0.2805
Pm 0.4150 0.2100 0.8835
Pm 0.3853 0.7800 0.8921
Pm 0.8963 0.4523 0.0137
Nd 0.0724 0.6208 0.4525
Nd 0.9318 0.9432 0.0296
Pt 0.4461 0.3862 0.6693
Pt 0.7778 0.8395 0.2249
Pt 0.7643 0.3335 0.2326
Pt 0.1116 0.5432 0.8615

---

Computed, not measured: Er12Tl5In2 after structural relaxation at the PBE-GGA level of DFT.

## Properties
space group = No. 12
electronic total energy = -3.888 eV/atom
D(E_F) = 19.14 states/eV/cell

a b c (Å): 7.1876 9.3022 9.1732
angles (deg): 83.12 90.00 112.73
Fractional positions:
Er 0.9566 0.9133 0.1990
Er 0.0797 0.6778 0.9108
Er 0.5982 0.6778 0.9108
Er 0.1052 0.7002 0.5056
Er 0.5950 0.7002 0.5056
Er 0.4920 0.9839 0.6881
Er 0.5080 0.0161 0.3119
Er 0.8948 0.2998 0.4944
Er 0.4050 0.2998 0.4944
Er 0.9203 0.3222 0.0892
Er 0.4018 0.3222 0.0892
Er 0.0434 0.0867 0.8010
Tl 0.2286 0.4572 0.7469
Tl 0.3047 0.6095 0.2302
Tl 0.0000 0.0000 0.5000
Tl 0.6953 0.3905 0.7698
Tl 0.7714 0.5428 0.2531
In 0.6867 0.0000 0.0000
In 0.3133 0.0000 0.0000

---

Computed, not measured: HI after structural relaxation at the PBE-GGA level of DFT.

## Properties
space group = No. 11
electronic total energy = -2.264 eV/atom
D(E_F) = 0.00 states/eV/cell

a b c (Å): 4.7610 3.6421 8.5925
angles (deg): 90.00 123.56 90.00
Fractional positions:
I 0.9972 0.7500 0.2502
I 0.0028 0.2500 0.7498
H 0.8733 0.7500 0.7518
H 0.1267 0.2500 0.2482

---

Computed, not measured: CsLaGe2O6 after structural relaxation at the PBE-GGA level of DFT.

## Properties
space group = No. 15
formation energy (no corrections) = -2.1791 eV/atom
D(E_F) = 0.00 states/eV/cell

a b c (Å): 7.7137 7.7137 5.8753
angles (deg): 97.84 97.84 87.82
Fractional positions:
Cs 0.1775 0.8225 0.2500
Cs 0.8225 0.1775 0.7500
La 0.6204 0.3796 0.2500
La 0.3796 0.6204 0.7500
Ge 0.3054 0.1430 0.8060
Ge 0.8570 0.6946 0.6940
Ge 0.6946 0.8570 0.1940
Ge 0.1430 0.3054 0.3060
O 0.9262 0.3787 0.2586
O 0.6213 0.0738 0.2414
O 0.0738 0.6213 0.7414
O 0.3787 0.9262 0.7586
O 0.1733 0.1580 0.0425
O 0.8420 0.8267 0.4575
O 0.8267 0.8420 0.9575
O 0.1580 0.1733 0.5425
O 0.3215 0.4488 0.3679
O 0.5512 0.6785 0.1321
O 0.6785 0.5512 0.6321
O 0.4488 0.3215 0.8679

---

Computed, not measured: Ce2TcIr after structural relaxation at the PBE-GGA level of DFT.

## Properties
space group = No. 166
electronic total energy = -7.587 eV/atom
D(E_F) = 3.03 states/eV/cell

a b c (Å): 3.5666 3.5666 8.9351
angles (deg): 78.49 78.49 60.00
Fractional positions:
Ir 0.5000 0.5000 0.5000
Tc 0.0000 0.0000 0.0000
Ce 0.0934 0.0934 0.7197
Ce 0.9066 0.9066 0.2803